A relaxed structure of CuAg, computed with PBE-GGA.

- calculated formation energy (eV per formula unit) = 0.1

Lattice parameters (Å, degrees): 2.811 2.818 29.949 90.30 90.01 90.01
Space group P1 (No. 1)
Asymmetric unit:
Cu 0.000 0.000 0.000
Cu 0.000 0.007 0.206
Cu 0.005 0.020 0.309
Cu 0.499 0.499 0.051
Cu 0.500 0.503 0.154
Cu 0.502 0.513 0.257
Cu 0.506 0.527 0.360
Cu 0.998 0.000 0.103
Ag 0.003 0.047 0.717
Ag 0.008 0.062 0.570
Ag 0.010 0.041 0.423
Ag 0.499 0.505 0.937
Ag 0.500 0.533 0.790
Ag 0.504 0.556 0.643
Ag 0.512 0.559 0.497
Ag 0.998 0.017 0.863